Below is an optimized crystal structure of CdCuHg2, with properties calculated at the GGA-PBEsol level.

extended XYZ file:
```
4
Lattice="4.1146 0.0000 0.0000 0.0000 4.2404 0.0000 0.0000 0.0000 4.2635" Properties=species:S:1:pos:R:3 pbc="T T T"
Cd 0.0000 0.0000 0.0000
Cu 0.0000 2.1202 2.1317
Hg 2.0573 0.0000 2.1317
Hg 2.0573 2.1202 0.0000
```

- space-group type = Pmmm (47)

***

Below is an optimized crystal structure of CdCuHg2, with properties calculated at the GGA-PBEsol level.

extended XYZ file:
```
4
Lattice="3.4147 0.0000 0.0000 0.0000 3.7487 0.0000 0.0000 0.0000 5.8894" Properties=species:S:1:pos:R:3 pbc="T T T"
Cd 0.0000 0.0000 0.0000
Cu 1.7074 1.8744 1.3951
Hg 0.0000 0.0000 2.7393
Hg 1.7074 1.8744 4.3811
```

- space-group type = Pmm2 (25)

***

Below is an optimized crystal structure of CdCuHg2, with properties calculated at the GGA-PBEsol level.

extended XYZ file:
```
4
Lattice="-2.1796 2.1796 3.9226 2.1796 -2.1796 3.9226 2.1796 2.1796 -3.9226" Properties=species:S:1:pos:R:3 pbc="T T T"
Cd 0.0000 0.0000 0.0000
Cu 0.0000 0.0000 3.9226
Hg 2.1796 0.0000 1.9613
Hg 0.0000 2.1796 1.9613
```

- space-group type = I4/mmm (139)

***

Magnetic moment (computed, μB/f.u.): 0.0, 0.0, 0.0
Energy of formation (computed, eV/atom): 0.139, 0.121, 0.137